Density functional theory data (PBE) for Li3LaRe after structural relaxation.

The calculation puts the energy above the most stable polymorph in this dataset at 0.0 meV per atom. The value obtained for the total moment is 1.03 Bohr magnetons per cell. As for the formation energy: 0.949 eV/atom. The value obtained for the density is 5.2 Mg/m³.

Cell: 4.8128 4.8128 4.8128 Å, 90.00 90.00 90.00°
Positions (direct):
Re: 0.0000 0.0000 0.0000
Li: 0.0000 0.5000 0.0000
Li: 0.0000 0.0000 0.5000
Li: 0.5000 0.0000 0.0000
La: 0.5000 0.5000 0.5000

Density functional theory data (PBE) for Li2LaRe after structural relaxation.

The calculation puts the energy above the most stable polymorph in this dataset at 159.5 meV per atom. The value obtained for the total moment is 0.00 Bohr magnetons per cell. As for the formation energy: 0.569 eV/atom. The value obtained for the density is 7.6 Mg/m³.

Cell: 4.7144 4.7144 4.7144 Å, 120.18 120.18 89.69°
Positions (direct):
La: 0.7500 0.2500 0.5000
Li: 0.0000 0.0000 0.0000
Li: 0.2500 0.7500 0.5000
Re: 0.5000 0.5000 0.0000

Density functional theory data (PBE) for Li2LaRe after structural relaxation.

The calculation puts the energy above the most stable polymorph in this dataset at 89.9 meV per atom. The value obtained for the total moment is 0.00 Bohr magnetons per cell. As for the formation energy: 0.500 eV/atom. The value obtained for the density is 7.2 Mg/m³.

Cell: 5.8695 5.8695 2.9718 Å, 79.64 79.64 124.08°
Positions (direct):
La: 0.0000 0.5000 0.5000
Li: 0.0000 0.0000 0.0000
Li: 0.5000 0.5000 0.0000
Re: 0.5000 0.0000 0.5000

Density functional theory data (PBE) for Li2LaRe after structural relaxation.

The calculation puts the energy above the most stable polymorph in this dataset at 101.7 meV per atom. The value obtained for the total moment is 0.04 Bohr magnetons per cell. As for the formation energy: 0.511 eV/atom. The value obtained for the density is 6.9 Mg/m³.

Cell: 3.3006 4.6577 5.3089 Å, 90.00 90.00 90.00°
Positions (direct):
La: 0.0000 0.5000 0.5000
Li: 0.0000 0.0000 0.0000
Li: 0.5000 0.5000 0.0000
Re: 0.5000 0.0000 0.5000

Density functional theory data (PBE) for Li2LaRe after structural relaxation.

The calculation puts the energy above the most stable polymorph in this dataset at 207.6 meV per atom. The value obtained for the total moment is 0.60 Bohr magnetons per cell. As for the formation energy: 0.617 eV/atom. The value obtained for the density is 7.3 Mg/m³.

Cell: 10.7342 10.7342 10.7342 Å, 15.57 15.57 15.57°
Positions (direct):
La: 0.7500 0.7500 0.7500
Li: 0.9862 0.9862 0.9862
Li: 0.5138 0.5138 0.5138
Re: 0.2500 0.2500 0.2500

Density functional theory data (PBE) for Li2LaRe after structural relaxation.

The calculation puts the energy above the most stable polymorph in this dataset at 184.2 meV per atom. The value obtained for the total moment is 0.70 Bohr magnetons per cell. As for the formation energy: 0.594 eV/atom. The value obtained for the density is 7.7 Mg/m³.

Cell: 4.6842 4.6842 4.6842 Å, 60.00 60.00 60.00°
Positions (direct):
Re: 0.5000 0.5000 0.5000
Li: 0.2500 0.2500 0.2500
Li: 0.7500 0.7500 0.7500
La: 0.0000 0.0000 0.0000

Density functional theory data (PBE) for LiLaRe3 after structural relaxation.

The calculation puts the energy above the most stable polymorph in this dataset at 0.0 meV per atom. The value obtained for the total moment is 0.00 Bohr magnetons per cell. As for the formation energy: 1.405 eV/atom. The value obtained for the density is 13.4 Mg/m³.

Cell: 4.4371 4.4371 4.4371 Å, 90.00 90.00 90.00°
Positions (direct):
Re: 0.0000 0.5000 0.0000
Re: 0.0000 0.0000 0.5000
Re: 0.5000 0.0000 0.0000
Li: 0.0000 0.0000 0.0000
La: 0.5000 0.5000 0.5000

Density functional theory data (PBE) for Li2LaRe after structural relaxation.

The calculation puts the energy above the most stable polymorph in this dataset at 232.8 meV per atom. The value obtained for the total moment is 1.00 Bohr magnetons per cell. As for the formation energy: 0.642 eV/atom. The value obtained for the density is 7.7 Mg/m³.

Cell: 3.5846 3.5846 5.7160 Å, 90.00 90.00 90.00°
Positions (direct):
La: 0.5000 0.5000 0.7500
Li: 0.0000 0.0000 0.0592
Li: 0.0000 0.0000 0.4408
Re: 0.5000 0.5000 0.2500

Density functional theory data (PBE) for Li2LaRe after structural relaxation.

The calculation puts the energy above the most stable polymorph in this dataset at 149.5 meV per atom. The value obtained for the total moment is 0.00 Bohr magnetons per cell. As for the formation energy: 0.559 eV/atom. The value obtained for the density is 7.3 Mg/m³.

Cell: 2.8594 2.8594 10.8473 Å, 90.00 90.00 118.94°
Positions (direct):
La: 0.5000 0.5000 0.7500
Li: 0.0000 0.0000 0.0391
Li: 0.0000 0.0000 0.4609
Re: 0.5000 0.5000 0.2500

Density functional theory data (PBE) for Li2LaRe after structural relaxation.

The calculation puts the energy above the most stable polymorph in this dataset at 2.8 meV per atom. The value obtained for the total moment is 0.00 Bohr magnetons per cell. As for the formation energy: 0.413 eV/atom. The value obtained for the density is 7.2 Mg/m³.

Cell: 5.0913 2.9908 5.2409 Å, 78.78 90.00 90.00°
Positions (direct):
La: 0.5000 0.7500 0.7500
Li: 0.0000 0.0398 0.0566
Li: 0.0000 0.4602 0.4434
Re: 0.5000 0.2500 0.2500

Density functional theory data (PBE) for Li2La2Re after structural relaxation.

The calculation puts the energy above the most stable polymorph in this dataset at 17.2 meV per atom. The value obtained for the total moment is 0.00 Bohr magnetons per cell. As for the formation energy: 0.520 eV/atom. The value obtained for the density is 7.1 Mg/m³.

Cell: 5.5067 5.5067 5.3781 Å, 59.21 59.21 90.00°
Positions (direct):
Re: 0.0000 0.0000 0.0000
Li: 0.3587 0.3587 0.2825
Li: 0.6413 0.6413 0.7175
La: 0.7500 0.2500 0.5000
La: 0.2500 0.7500 0.5000

Density functional theory data (PBE) for Li2LaRe after structural relaxation.

The calculation puts the energy above the most stable polymorph in this dataset at 71.4 meV per atom. The value obtained for the total moment is 0.00 Bohr magnetons per cell. As for the formation energy: 0.481 eV/atom. The value obtained for the density is 7.5 Mg/m³.

Cell: 5.3655 5.3655 5.3655 Å, 135.30 135.30 65.06°
Positions (direct):
La: 0.7500 0.2500 0.5000
Li: 0.0000 0.0000 0.0000
Li: 0.5000 0.5000 0.0000
Re: 0.2500 0.7500 0.5000

Density functional theory data (PBE) for Li2LaRe after structural relaxation.

The calculation puts the energy above the most stable polymorph in this dataset at 0.0 meV per atom. The value obtained for the total moment is 0.00 Bohr magnetons per cell. As for the formation energy: 0.410 eV/atom. The value obtained for the density is 6.8 Mg/m³.

Cell: 6.0728 6.0728 6.0728 Å, 149.00 134.11 56.42°
Positions (direct):
La: 0.2500 0.7500 0.5000
Li: 0.9675 0.9675 0.0000
Li: 0.5325 0.5325 0.0000
Re: 0.7500 0.2500 0.5000

Density functional theory data (PBE) for Li2LaRe after structural relaxation.

The calculation puts the energy above the most stable polymorph in this dataset at 114.1 meV per atom. The value obtained for the total moment is 0.01 Bohr magnetons per cell. As for the formation energy: 0.524 eV/atom. The value obtained for the density is 7.0 Mg/m³.

Cell: 4.6513 4.6513 6.4573 Å, 86.76 86.76 35.45°
Positions (direct):
La: 0.2479 0.2479 0.2884
Li: 0.0092 0.0092 0.9209
Li: 0.7496 0.7496 0.7378
Re: 0.4933 0.4933 0.5529

Density functional theory data (PBE) for LiLaRe2Rh after structural relaxation.

The value obtained for the total moment is 0.00 Bohr magnetons per cell. As for the formation energy: 2.248 eV/atom. The value obtained for the density is 10.3 Mg/m³.

Cell: 4.7676 4.4014 4.7676 Å, 90.00 90.00 90.00°
Positions (direct):
Re: 0.0000 0.0000 0.5000
Re: 0.5000 0.0000 0.0000
Li: 0.0000 0.5000 0.0000
Rh: 0.5000 0.5000 0.5000
La: 0.0000 0.0000 0.0000